P.
VASP calculation (GGA-PBE) on a relaxed structure of Zr2BeCd.

POSCAR file:
```
Zr2BeCd
1.0
-2.501 1.849 0.591
-2.401 -3.145 -0.316
0.635 -1.099 6.123
Be Zr Cd
1 2 1
Direct
0.000 0.000 0.483
0.000 0.000 0.007
0.500 0.500 0.275
0.500 0.500 0.736
```

---

Q.
VASP calculation (GGA-PBE) on a relaxed structure of Zr2BeCd.

POSCAR file:
```
Zr2BeCd
1.0
6.675 -0.020 -0.058
-2.541 4.302 0.020
1.592 0.934 2.665
Be Zr Cd
1 2 1
Direct
0.000 0.500 0.500
0.000 0.000 0.000
0.500 0.000 0.500
0.500 0.500 0.000
```

---

R.
VASP calculation (GGA-PBE) on a relaxed structure of Zr2BeCd.

POSCAR file:
```
Zr2BeCd
1.0
4.143 0.000 0.000
0.000 3.305 0.001
0.000 1.651 5.693
Be Zr Cd
1 2 1
Direct
0.000 0.701 0.473
0.000 0.943 0.989
0.500 0.289 0.296
0.500 0.566 0.742
```

---

Calculated relative energies: P 127; Q 22; R 0, given in meV/atom

---

P.
VASP calculation (GGA-PBE) on a relaxed structure of Zr2BeCd.

POSCAR file:
```
Zr2BeCd
1.0
4.845 0.000 0.000
2.422 4.196 0.000
2.422 1.399 3.956
Be Zr Cd
1 2 1
Direct
0.500 0.500 0.500
0.000 0.000 0.000
0.250 0.250 0.250
0.750 0.750 0.750
```

---

Q.
VASP calculation (GGA-PBE) on a relaxed structure of Zr2BeCd.

POSCAR file:
```
Zr2BeCd
1.0
5.659 0.004 0.008
4.784 3.022 0.008
2.179 0.631 4.439
Be Zr Cd
1 2 1
Direct
0.510 0.510 0.489
0.001 0.001 0.999
0.777 0.777 0.723
0.212 0.212 0.289
```

---

R.
VASP calculation (GGA-PBE) on a relaxed structure of Zr2BeCd.

POSCAR file:
```
Zr2BeCd
1.0
-3.166 3.505 2.533
-5.013 0.174 -1.887
3.305 -3.916 1.570
Be Zr Cd
1 2 1
Direct
0.500 0.500 0.000
0.000 0.000 0.000
0.250 0.750 0.500
0.750 0.250 0.500
```

---

S.
VASP calculation (GGA-PBE) on a relaxed structure of Zr2BeCd.

POSCAR file:
```
Zr2BeCd
1.0
4.226 -0.212 -2.208
2.887 -3.731 0.725
0.713 -3.179 -3.488
Be Zr Cd
1 2 1
Direct
0.000 0.000 0.000
0.250 0.250 0.250
0.750 0.750 0.750
0.500 0.500 0.500
```

---

Calculated relative energies: P 422; Q 0; R 124; S 13, given in meV/atom

---

P.
VASP calculation (GGA-PBE) on a relaxed structure of Zr2BeCd.

POSCAR file:
```
Zr2BeCd
1.0
3.079 0.000 0.000
0.000 3.079 0.000
0.000 0.000 8.021
Be Zr Cd
1 2 1
Direct
0.000 0.000 0.511
0.000 0.000 0.997
0.500 0.500 0.290
0.500 0.500 0.702
```

---

Q.
VASP calculation (GGA-PBE) on a relaxed structure of Zr2BeCd.

POSCAR file:
```
Zr2BeCd
1.0
-0.773 -8.163 -3.523
1.104 -8.809 -0.913
-2.155 -8.640 -0.588
Be Zr Cd
1 2 1
Direct
0.497 0.497 0.497
0.000 0.000 0.000
0.240 0.240 0.240
0.763 0.763 0.763
```

---

Calculated relative energies: P 0; Q 207, given in meV/atom

---

P.
VASP calculation (GGA-PBE) on a relaxed structure of Zr2BeCd.

POSCAR file:
```
Zr2BeCd
1.0
7.635 0.000 0.000
0.000 7.635 0.000
3.818 3.818 2.728
Be Zr Cd
2 4 2
Direct
0.500 0.500 0.000
0.250 0.750 0.500
0.593 0.125 0.250
0.157 0.625 0.250
0.375 0.407 0.750
0.875 0.843 0.750
0.000 0.000 0.000
0.750 0.250 0.500
```

---

Q.
VASP calculation (GGA-PBE) on a relaxed structure of Zr2BeCd.

POSCAR file:
```
Zr2BeCd
1.0
4.400 0.000 0.000
0.000 4.400 0.000
0.000 0.000 3.961
Be Zr Cd
1 2 1
Direct
0.500 0.000 0.500
0.000 0.000 0.000
0.500 0.500 0.000
0.000 0.500 0.500
```

---

Calculated relative energies: P 299; Q 0, given in meV/atom